Entry 1:
# Pa2Zn3Sn

Pa2Zn3Sn after structural relaxation (GGA-PBE, the Alexandria database).

Its energy of formation from the pure elements is -0.111 eV/atom. Its symmetry is Fmmm, No. 69. As for the density: 10.29 g/cm³. As for the magnetic moment: 3.3 μB per cell.

a = 5.730 Å, b = 5.730 Å, c = 8.857 Å
α = 101.51°, β = 101.51°, γ = 112.53°
Last column: magnetic moment on the atom in μB.
Positions (direct):
Pa: 0.250 0.750 0.500  0.81
Pa: 0.765 0.765 0.000  0.62
Pa: 0.750 0.250 0.500  0.81
Pa: 0.235 0.235 0.000  0.62
Zn: 0.674 0.165 0.839  0.00
Zn: 0.835 0.326 0.161  0.00
Zn: 0.326 0.835 0.161  0.00
Zn: 0.165 0.674 0.839  0.00
Zn: 0.837 0.837 0.675  0.01
Zn: 0.163 0.163 0.325  0.01
Sn: 0.335 0.335 0.670  -0.01
Sn: 0.665 0.665 0.330  -0.01

---

Entry 2:
# Pa2ZnSn

Pa2ZnSn after structural relaxation (GGA-PBE, the Alexandria database).

Its energy of formation from the pure elements is 0.103 eV/atom. Its symmetry is Fm-3m, No. 225. As for the density: 10.94 g/cm³. As for the magnetic moment: 2.6 μB per cell.

a = 5.177 Å, b = 5.177 Å, c = 5.177 Å
α = 60.00°, β = 60.00°, γ = 60.00°
Last column: magnetic moment on the atom in μB.
Positions (direct):
Zn: 0.000 0.000 0.000  0.02
Pa: 0.250 0.250 0.250  0.98
Pa: 0.750 0.750 0.750  0.98
Sn: 0.500 0.500 0.500  0.02

---

Entry 3:
# ZrPa2Sn

ZrPa2Sn after structural relaxation (GGA-PBE, the Alexandria database).

Its energy of formation from the pure elements is -0.157 eV/atom. Its symmetry is P2_1/m, No. 11. As for the density: 11.65 g/cm³. As for the magnetic moment: 0.0 μB per cell.

a = 3.167 Å, b = 5.178 Å, c = 12.487 Å
α = 110.72°, β = 90.00°, γ = 90.00°
Positions (direct):
Zr: 0.250 0.333 0.599
Zr: 0.750 0.667 0.401
Pa: 0.750 0.550 0.843
Pa: 0.250 0.450 0.157
Pa: 0.250 0.115 0.904
Pa: 0.750 0.885 0.096
Sn: 0.750 0.882 0.655
Sn: 0.250 0.118 0.345

---

> The lowest energy of formation from the pure elements belongs to which entry?

ZrPa2Sn

---

> Look up the magnetic moment of the third one.

0.0 μB per cell

---

> What is the formula in the first record?

Pa2Zn3Sn

---

> Which value of magnetic moment does entry 3 give?

0.0 μB per cell